# Tl2Ni2C

A relaxed Tl2Ni2C crystal (PBE, Alexandria). Values from VASP.

Structure (Quantum ESPRESSO input):
```
&SYSTEM
  ibrav = 0, nat = 10, ntyp = 3
/
ATOMIC_SPECIES
Tl 204.38 Tl.upf
Ni 58.69 Ni.upf
C 12.01 C.upf
CELL_PARAMETERS angstrom
5.564 0.000 0.000
0.000 5.564 0.000
0.000 0.000 5.607
ATOMIC_POSITIONS crystal
Tl 0.312 0.188 0.500
Tl 0.812 0.312 0.500
Ni 0.260 0.760 0.000
Tl 0.188 0.688 0.500
C 0.000 0.000 0.000
Tl 0.688 0.812 0.500
C 0.500 0.500 0.000
Ni 0.740 0.240 0.000
Ni 0.760 0.740 0.000
Ni 0.240 0.260 0.000
```

Values from the calculation:
Calculated formation energy ... 0.6821 eV/atom
Density of states at the Fermi level ... 7.3 states/eV/cell
Total magnetization ... 0.00 μB/f.u.
VASP energy ... -4.422 eV per atom

# CsSiAuS3

A relaxed CsSiAuS3 crystal (PBE, Alexandria). Values from VASP.

Structure (Quantum ESPRESSO input):
```
&SYSTEM
  ibrav = 0, nat = 12, ntyp = 4
/
ATOMIC_SPECIES
Cs 132.91 Cs.upf
S 32.06 S.upf
Au 196.97 Au.upf
Si 28.09 Si.upf
CELL_PARAMETERS angstrom
-6.689 -3.166 -2.069
-1.490 -1.963 -7.278
1.267 -8.096 -0.606
ATOMIC_POSITIONS crystal
Cs 0.657 0.657 0.784
S 0.141 0.655 0.791
Au 0.769 0.231 0.500
S 0.859 0.345 0.209
Au 0.231 0.769 0.500
Si 0.947 0.947 0.875
S 0.115 0.115 0.843
Si 0.053 0.053 0.125
S 0.885 0.885 0.157
S 0.655 0.141 0.791
Cs 0.343 0.343 0.216
S 0.345 0.859 0.209
```

Values from the calculation:
ΔE_f (raw) ... -829 meV per atom
Density of states at the Fermi level ... 0.0 states/eV/cell
Total magnetization ... 0.00 μB/f.u.
VASP energy ... -4.485 eV per atom

# CaTbCe2Hg4

A relaxed CaTbCe2Hg4 crystal (PBE, Alexandria). Values from VASP.

Structure (Quantum ESPRESSO input):
```
&SYSTEM
  ibrav = 0, nat = 8, ntyp = 4
/
ATOMIC_SPECIES
Ce 140.12 Ce.upf
Hg 200.59 Hg.upf
Tb 158.93 Tb.upf
Ca 40.08 Ca.upf
CELL_PARAMETERS angstrom
5.379 0.000 0.000
2.690 4.658 0.000
2.690 1.553 8.774
ATOMIC_POSITIONS crystal
Ce 0.251 0.251 0.248
Hg 0.376 0.376 0.871
Hg 0.624 0.624 0.129
Tb 0.500 0.500 0.500
Ca 0.000 0.000 0.000
Hg 0.126 0.126 0.622
Hg 0.874 0.874 0.378
Ce 0.749 0.749 0.752
```

Values from the calculation:
Calculated formation energy ... -0.4087 eV/atom
Density of states at the Fermi level ... 19.3 states/eV/cell
Total magnetization ... 2.24 μB/f.u.
VASP energy ... -2.872 eV per atom

# Zn2TcSe

A relaxed Zn2TcSe crystal (PBE, Alexandria). Values from VASP.

Structure (Quantum ESPRESSO input):
```
&SYSTEM
  ibrav = 0, nat = 4, ntyp = 3
/
ATOMIC_SPECIES
Zn 65.41 Zn.upf
Se 78.96 Se.upf
Tc 98.00 Tc.upf
CELL_PARAMETERS angstrom
-4.576 5.418 -4.648
-3.406 3.585 -6.888
-5.985 2.723 -5.355
ATOMIC_POSITIONS crystal
Zn 0.256 0.256 0.256
Se 0.486 0.486 0.486
Zn 0.005 0.005 0.005
Tc 0.753 0.753 0.753
```

Values from the calculation:
ΔE_f (raw) ... 32 meV per atom
Density of states at the Fermi level ... 2.1 states/eV/cell
Total magnetization ... 0.37 μB/f.u.
VASP energy ... -4.067 eV per atom

Q: Look up the total magnetization of the first one.
A: 0.00 μB/f.u.

Q: Which of these has the lowest VASP energy?
A: CsSiAuS3